Density functional theory data (PBE with a Hubbard U) for a geometry-optimized Cs2CoPtO4 structure.

Output
Calculated volume, Å³ per cell: 351.29
Uncorrected energy, hartree per atom: -0.187

Cell and atoms, written as CIF:
```
data_Cs2CoPtO4
_cell_length_a 5.782
_cell_length_b 4.898
_cell_length_c 12.405
_cell_angle_alpha 90.00
_cell_angle_beta 90.00
_cell_angle_gamma 90.00
_space_group_name_H-M_alt 'A m m 2'
_space_group_IT_number 38
loop_
_space_group_symop_operation_xyz
'x,y,z'
'-x,-y,z'
'-x,y,z'
'x,-y,z'
'x,y+1/2,z+1/2'
'-x,-y+1/2,z+1/2'
'-x,y+1/2,z+1/2'
'x,-y+1/2,z+1/2'
loop_
_atom_site_label
_atom_site_type_symbol
_atom_site_fract_x
_atom_site_fract_y
_atom_site_fract_z
_atom_site_occupancy
Cs1 Cs 0.000 0.000 0.000 1
Cs2 Cs 0.500 0.000 0.386 1
Co1 Co 0.000 0.000 0.693 1
Pt1 Pt 0.500 0.000 0.687 1
O1 O 0.225 0.000 0.590 1
O2 O 0.233 0.000 0.791 1
```